[1]
SrGa2Ag2 after structural relaxation, computed with GGA-PBE.

The calculation puts the electronic total energy at -0.204 Ry/atom. Its formation energy is -0.085 eV/atom. Its total magnetization is 0.000 μB/cell.

Unit cell a=8.2328 b=8.2328 c=3.1886 alpha=90.00 beta=90.00 gamma=90.00
Closest atoms and distances in Å follow each position.
Element x y z (fractional)
Sr 0.0000 0.0000 0.0000  2 Sr 3.19, 4 Ag 3.25, 8 Ga 3.47
Sr 0.5000 0.5000 0.0000  2 Sr 3.19, 4 Ag 3.25, 8 Ga 3.47
Ga 0.1631 0.3369 0.5000  6 Ag 2.88-2.92, 2 Ga 3.19
Ga 0.3369 0.8369 0.5000  6 Ag 2.88-2.92, 2 Ga 3.19
Ga 0.6631 0.1631 0.5000  6 Ag 2.88-2.92, 2 Ga 3.19
Ga 0.8369 0.6631 0.5000  6 Ag 2.88-2.92, 2 Ga 3.19
Ag 0.1265 0.6265 0.0000  6 Ga 2.88-2.92, 3 Ag 2.95-3.19
Ag 0.3735 0.1265 0.0000  6 Ga 2.88-2.92, 3 Ag 2.95-3.19
Ag 0.6265 0.8735 0.0000  6 Ga 2.88-2.92, 3 Ag 2.95-3.19
Ag 0.8735 0.3735 0.0000  6 Ga 2.88-2.92, 3 Ag 2.95-3.19


[2]
Sr8GaAg2 after structural relaxation, computed with GGA-PBE.

The calculation puts the electronic total energy at -0.158 Ry/atom. Its formation energy is -0.128 eV/atom. Its total magnetization is 0.000 μB/cell.

Unit cell a=8.8075 b=8.8075 c=6.8724 alpha=100.24 beta=100.24 gamma=112.25
Closest atoms and distances in Å follow each position.
Element x y z (fractional)
Sr 0.0000 0.0000 0.0000  1 Ga 3.50, 2 Ag 3.53
Sr 0.0190 0.2776 0.5982  2 Ag 3.26-3.28, 1 Ga 3.40
Sr 0.1488 0.5711 0.1906  1 Ga 3.37, 1 Ag 3.70
Sr 0.2776 0.0190 0.5982  2 Ag 3.26-3.28, 1 Ga 3.40
Sr 0.4315 0.6934 0.8012  2 Ag 3.30-3.32, 1 Ga 3.36
Sr 0.5711 0.1488 0.1906  1 Ga 3.37, 1 Ag 3.70
Sr 0.6934 0.4315 0.8012  2 Ag 3.30-3.32, 1 Ga 3.36
Sr 0.7122 0.7122 0.3703  2 Ag 3.47, 1 Ga 3.64
Ga 0.3550 0.3550 0.9932  8 Sr 3.36-3.64
Ag 0.0376 0.6632 0.6798  6 Sr 3.26-3.53
Ag 0.6632 0.0376 0.6798  6 Sr 3.26-3.53


[3]
Sr3Ga2Ag7 after structural relaxation, computed with GGA-PBE.

The calculation puts the electronic total energy at -0.207 Ry/atom. Its formation energy is -0.224 eV/atom. Its total magnetization is 0.000 μB/cell.

Unit cell a=9.8032 b=9.8032 c=9.8032 alpha=35.05 beta=35.05 gamma=35.05
Closest atoms and distances in Å follow each position.
Element x y z (fractional)
Sr 0.0000 0.0000 0.0000  6 Ga 3.41, 12 Ag 3.68
Sr 0.1427 0.1427 0.1427  12 Ag 3.42-3.50, 3 Sr 3.66
Sr 0.8573 0.8573 0.8573  12 Ag 3.42-3.50, 3 Sr 3.66
Ga 0.3313 0.3313 0.3313  6 Ag 2.74-2.82
Ga 0.6687 0.6687 0.6687  6 Ag 2.74-2.82
Ag 0.0807 0.5793 0.5793  2 Ga 2.74-2.82, 5 Ag 2.94-2.96
Ag 0.4207 0.4207 0.9193  2 Ga 2.74-2.82, 5 Ag 2.94-2.96
Ag 0.4207 0.9193 0.4207  2 Ga 2.74-2.82, 5 Ag 2.94-2.96
Ag 0.5000 0.5000 0.5000  6 Ag 2.94
Ag 0.5793 0.0807 0.5793  2 Ga 2.74-2.82, 5 Ag 2.94-2.96
Ag 0.5793 0.5793 0.0807  2 Ga 2.74-2.82, 5 Ag 2.94-2.96
Ag 0.9193 0.4207 0.4207  2 Ga 2.74-2.82, 5 Ag 2.94-2.96


[4]
Sr7Ga2Ag2 after structural relaxation, computed with GGA-PBE.

The calculation puts the electronic total energy at -0.166 Ry/atom. Its formation energy is -0.115 eV/atom. Its total magnetization is 0.000 μB/cell.

Unit cell a=7.5180 b=7.5180 c=8.0870 alpha=90.08 beta=90.08 gamma=68.31
Closest atoms and distances in Å follow each position.
Element x y z (fractional)
Sr 0.0000 0.0000 0.0000  2 Ag 3.74
Sr 0.0004 0.5005 0.2755  2 Ag 3.13
Sr 0.9996 0.4995 0.7245  2 Ag 3.13
Sr 0.5005 0.0004 0.2755  2 Ag 3.13
Sr 0.4995 0.9996 0.7245  2 Ag 3.13
Sr 0.5003 0.5003 0.2643  2 Ag 3.28, 2 Ga 3.50
Sr 0.4997 0.4997 0.7357  2 Ag 3.28, 2 Ga 3.50
Ga 0.1529 0.8471 0.5000  1 Ga 2.58
Ga 0.8471 0.1529 0.5000  1 Ga 2.58
Ag 0.3002 0.3002 0.0000  6 Sr 3.13-3.28
Ag 0.6998 0.6998 0.0000  6 Sr 3.13-3.28


[5]
SrGa3Ag3 after structural relaxation, computed with GGA-PBE.

The calculation puts the electronic total energy at -0.218 Ry/atom. Its formation energy is -0.201 eV/atom. Its total magnetization is 0.000 μB/cell. The relative energy among the computed polymorphs comes out at 4 meV/atom.

Unit cell a=7.3666 b=7.3666 c=7.3666 alpha=62.14 beta=62.14 gamma=62.14
Closest atoms and distances in Å follow each position.
Element x y z (fractional)
Sr 0.1263 0.1263 0.1263  6 Ag 3.23-3.62, 3 Ga 3.31
Sr 0.8737 0.8737 0.8737  6 Ag 3.23-3.62, 3 Ga 3.31
Ga 0.1871 0.5613 0.5613  4 Ag 2.76-2.84, 4 Ga 2.79-2.85
Ga 0.4387 0.4387 0.8129  4 Ag 2.76-2.84, 4 Ga 2.79-2.85
Ga 0.4387 0.8129 0.4387  4 Ag 2.76-2.84, 4 Ga 2.79-2.85
Ga 0.5613 0.1871 0.5613  4 Ag 2.76-2.84, 4 Ga 2.79-2.85
Ga 0.5613 0.5613 0.1871  4 Ag 2.76-2.84, 4 Ga 2.79-2.85
Ga 0.8129 0.4387 0.4387  4 Ag 2.76-2.84, 4 Ga 2.79-2.85
Ag 0.1789 0.1789 0.5629  4 Ga 2.76-2.84, 4 Ag 2.86-2.92
Ag 0.1789 0.5629 0.1789  4 Ga 2.76-2.84, 4 Ag 2.86-2.92
Ag 0.4371 0.8211 0.8211  4 Ga 2.76-2.84, 4 Ag 2.86-2.92
Ag 0.5629 0.1789 0.1789  4 Ga 2.76-2.84, 4 Ag 2.86-2.92
Ag 0.8211 0.4371 0.8211  4 Ga 2.76-2.84, 4 Ag 2.86-2.92
Ag 0.8211 0.8211 0.4371  4 Ga 2.76-2.84, 4 Ag 2.86-2.92


[6]
Sr2GaAg2 after structural relaxation, computed with GGA-PBE.

The calculation puts the electronic total energy at -0.192 Ry/atom. Its formation energy is -0.190 eV/atom. Its total magnetization is 0.000 μB/cell. The relative energy among the computed polymorphs comes out at 137 meV/atom.

Unit cell a=9.8518 b=9.8518 c=9.8518 alpha=157.09 beta=157.09 gamma=32.62
Closest atoms and distances in Å follow each position.
Element x y z (fractional)
Sr 0.1032 0.1032 0.0000  4 Ga 3.39, 4 Ag 3.40
Sr 0.8968 0.8968 0.0000  4 Ga 3.39, 4 Ag 3.40
Ga 0.5000 0.5000 0.0000  8 Sr 3.39
Ag 0.2500 0.7500 0.5000  4 Ag 2.77
Ag 0.7500 0.2500 0.5000  4 Ag 2.77


[7]
SrGa4Ag4 after structural relaxation, computed with GGA-PBE.

The calculation puts the electronic total energy at -0.217 Ry/atom. Its formation energy is -0.156 eV/atom. Its total magnetization is 0.000 μB/cell.

Unit cell a=6.3392 b=6.3392 c=9.2796 alpha=90.00 beta=90.00 gamma=90.00
Closest atoms and distances in Å follow each position.
Element x y z (fractional)
Sr 0.2500 0.7500 0.2500  4 Ga 3.40, 8 Ag 3.59
Sr 0.7500 0.2500 0.7500  4 Ga 3.40, 8 Ag 3.59
Ga 0.0424 0.2500 0.0567  1 Ga 2.63, 5 Ag 2.67-2.77
Ga 0.2500 0.0424 0.5567  1 Ga 2.63, 5 Ag 2.67-2.77
Ga 0.2500 0.4576 0.5567  1 Ga 2.63, 5 Ag 2.67-2.77
Ga 0.4576 0.2500 0.0567  1 Ga 2.63, 5 Ag 2.67-2.77
Ga 0.5424 0.7500 0.9433  1 Ga 2.63, 5 Ag 2.67-2.77
Ga 0.7500 0.5424 0.4433  1 Ga 2.63, 5 Ag 2.67-2.77
Ga 0.7500 0.9576 0.4433  1 Ga 2.63, 5 Ag 2.67-2.77
Ga 0.9576 0.7500 0.9433  1 Ga 2.63, 5 Ag 2.67-2.77
Ag 0.0241 0.2500 0.3439  5 Ga 2.67-2.77, 1 Ag 2.86
Ag 0.2500 0.0241 0.8439  5 Ga 2.67-2.77, 1 Ag 2.86
Ag 0.2500 0.4759 0.8439  5 Ga 2.67-2.77, 1 Ag 2.86
Ag 0.4759 0.2500 0.3439  5 Ga 2.67-2.77, 1 Ag 2.86
Ag 0.5241 0.7500 0.6561  5 Ga 2.67-2.77, 1 Ag 2.86
Ag 0.7500 0.5241 0.1561  5 Ga 2.67-2.77, 1 Ag 2.86
Ag 0.7500 0.9759 0.1561  5 Ga 2.67-2.77, 1 Ag 2.86
Ag 0.9759 0.7500 0.6561  5 Ga 2.67-2.77, 1 Ag 2.86


[8]
Sr2GaAg2 after structural relaxation, computed with GGA-PBE.

The calculation puts the electronic total energy at -0.196 Ry/atom. Its formation energy is -0.245 eV/atom. Its total magnetization is 0.000 μB/cell. The relative energy among the computed polymorphs comes out at 82 meV/atom.

Unit cell a=7.9653 b=7.9653 c=4.4711 alpha=90.00 beta=90.00 gamma=90.00
Closest atoms and distances in Å follow each position.
Element x y z (fractional)
Sr 0.1804 0.3196 0.0000  6 Ag 3.13-3.33
Sr 0.3196 0.8196 0.0000  6 Ag 3.13-3.33
Sr 0.6804 0.1804 0.0000  6 Ag 3.13-3.33
Sr 0.8196 0.6804 0.0000  6 Ag 3.13-3.33
Ga 0.0000 0.0000 0.5000  4 Ag 3.15
Ga 0.5000 0.5000 0.5000  4 Ag 3.15
Ag 0.1250 0.6250 0.5000  1 Ag 2.82, 2 Sr 3.13, 2 Ga 3.15
Ag 0.3750 0.1250 0.5000  1 Ag 2.82, 2 Sr 3.13, 2 Ga 3.15
Ag 0.6250 0.8750 0.5000  1 Ag 2.82, 2 Sr 3.13, 2 Ga 3.15
Ag 0.8750 0.3750 0.5000  1 Ag 2.82, 2 Sr 3.13, 2 Ga 3.15